Material: Ba2LiMg3F12
Method: DFT, PBE
State: optimized geometry

Formation energy (no corrections)   -58.9 eV/f.u.
E   -91.85 eV for the cell shown
DOS(E_F)   0.716 states/eV per atom
Spin magnetization   1.17 μB/f.u.

a = 7.0593 Å, b = 7.0593 Å, c = 7.0593 Å
α = 62.08°, β = 62.08°, γ = 62.08°
Closest atoms and distances in Å follow each position.
Positions (direct):
1 F 0.1223 0.7136 0.7136  2 Mg 1.96
2 F 0.1350 0.1350 0.5872  1 Mg 2.04
3 F 0.2864 0.8777 0.2864  2 Mg 1.96
4 Ba 0.6113 0.6113 0.6113  3 F 2.59
5 F 0.8650 0.8650 0.4128  1 Mg 2.04
6 F 0.1350 0.5872 0.1350  1 Mg 2.04
7 F 0.7136 0.7136 0.1223  2 Mg 1.96
8 F 0.2864 0.2864 0.8777  2 Mg 1.96
9 Mg 0.0000 0.5000 0.0000  6 F 1.96-2.04
10 F 0.8650 0.4128 0.8650  1 Mg 2.04
11 F 0.5872 0.1350 0.1350  1 Mg 2.04
12 F 0.4128 0.8650 0.8650  1 Mg 2.04
13 Ba 0.3887 0.3887 0.3887  3 F 2.59
14 F 0.7136 0.1223 0.7136  2 Mg 1.96
15 F 0.8777 0.2864 0.2864  2 Mg 1.96
16 Li 0.0000 0.0000 0.0000  6 F 2.44
17 Mg 0.0000 0.0000 0.5000  6 F 1.96-2.04
18 Mg 0.5000 0.0000 0.0000  6 F 1.96-2.04